1.
A plane-wave DFT calculation with PBE was carried out for a relaxed structure of TeWSe3I.

Computed properties:
The value obtained for the spin magnetization is 0.001 μB per formula unit. The total energy is -4.92 eV/atom. Its symmetry is P-1.

Lattice parameters (Å, degrees): 6.5661 8.3131 8.6570 105.50 112.27 103.93
Element x y z (fractional)
1 I 0.8829 0.2333 0.6214
2 Te 0.6935 0.2591 0.2305
3 W 0.7812 0.0006 0.0003
4 Se 0.1727 0.0889 0.2903
5 Se 0.1443 0.2876 0.1110
6 Se 0.8557 0.7124 0.8890
7 Se 0.8273 0.9111 0.7097
8 Se 0.4973 0.1780 0.8866
9 Te 0.3065 0.7409 0.7695
10 W 0.2188 0.9994 0.9997
11 Se 0.5027 0.8220 0.1134
12 I 0.1171 0.7667 0.3786

***

2.
A plane-wave DFT calculation with PBE was carried out for a relaxed structure of ThSe2I2.

Computed properties:
The value obtained for the spin magnetization is 0.001 μB per formula unit. The total energy is -4.68 eV/atom. Its symmetry is C2/m.

Lattice parameters (Å, degrees): 7.9479 7.9479 8.1169 93.74 93.74 120.38
Element x y z (fractional)
1 I 0.5125 0.9151 0.2325
2 I 0.4875 0.0849 0.7675
3 Se 0.2743 0.2743 0.1036
4 Se 0.0560 0.0560 0.2795
5 I 0.0849 0.4875 0.7675
6 Th 0.8572 0.1428 0.0000
7 Se 0.7257 0.7257 0.8964
8 I 0.9151 0.5125 0.2325
9 Se 0.9440 0.9440 0.7205
10 Th 0.1428 0.8572 0.0000

***

3.
A plane-wave DFT calculation with PBE was carried out for a relaxed structure of U2Se2I3.

Computed properties:
The value obtained for the spin magnetization is 3.802 μB per formula unit. The total energy is -5.00 eV/atom. Its symmetry is Cmmm.

Lattice parameters (Å, degrees): 11.5718 11.5718 5.0636 90.00 90.00 160.89
Last column: magnetic moment on the atom in μB.
Element x y z (fractional)
1 I 0.6732 0.3268 0.5000  -0.01
2 I 0.3268 0.6732 0.5000  -0.01
3 U 0.7956 0.2044 0.0000  1.97
4 U 0.2044 0.7956 0.0000  1.97
5 Se 0.9050 0.0950 0.0000  -0.13
6 Se 0.0950 0.9050 0.0000  -0.13
7 I 0.5000 0.5000 0.5000  -0.04

***

4.
A plane-wave DFT calculation with PBE was carried out for a relaxed structure of WSeI2.

Computed properties:
The value obtained for the spin magnetization is 0.004 μB per formula unit. The total energy is -5.14 eV/atom. Its symmetry is P2_1/m.

Lattice parameters (Å, degrees): 7.8412 3.4337 9.8171 90.00 95.17 90.00
Element x y z (fractional)
1 I 0.8415 0.2500 0.8182
2 I 0.1585 0.7500 0.1818
3 W 0.5547 0.2500 0.6099
4 W 0.4453 0.7500 0.3901
5 Se 0.7445 0.7500 0.5073
6 Se 0.2555 0.2500 0.4927
7 I 0.4106 0.7500 0.7976
8 I 0.5894 0.2500 0.2024

***

5.
A plane-wave DFT calculation with PBE was carried out for a relaxed structure of WSeI4.

Computed properties:
The value obtained for the spin magnetization is 0.001 μB per formula unit. The total energy is -3.86 eV/atom. Its symmetry is P-1.

Lattice parameters (Å, degrees): 7.4638 8.6023 8.7557 75.87 78.87 78.49
Element x y z (fractional)
1 I 0.3443 0.4722 0.2040
2 I 0.1588 0.8593 0.8351
3 Se 0.6529 0.9821 0.7577
4 W 0.8551 0.7511 0.8039
5 I 0.8011 0.6564 0.1249
6 W 0.1449 0.2489 0.1961
7 I 0.6557 0.5278 0.7960
8 I 0.9720 0.2802 0.4896
9 I 0.8412 0.1407 0.1649
10 Se 0.3471 0.0179 0.2423
11 I 0.1989 0.3436 0.8751
12 I 0.0280 0.7198 0.5104

***

6.
A plane-wave DFT calculation with PBE was carried out for a relaxed structure of Zr2SeI3.

Computed properties:
The value obtained for the spin magnetization is 0.002 μB per formula unit. The total energy is -5.18 eV/atom. Its symmetry is Pmn2_1.

Lattice parameters (Å, degrees): 3.8387 6.9266 15.0315 90.00 90.00 90.00
Element x y z (fractional)
1 I 0.0000 0.7228 0.8912
2 Zr 0.0000 0.1155 0.9944
3 Zr 0.5000 0.4974 0.0029
4 I 0.0000 0.1161 0.6093
5 I 0.5000 0.2772 0.3912
6 I 0.5000 0.6108 0.6430
7 Se 0.5000 0.2171 0.8815
8 I 0.5000 0.8839 0.1093
9 Zr 0.0000 0.5026 0.5029
10 Se 0.0000 0.7829 0.3815
11 I 0.0000 0.3892 0.1430
12 Zr 0.5000 0.8845 0.4944

***

7.
A plane-wave DFT calculation with PBE was carried out for a relaxed structure of TbSmSi2I2.

Computed properties:
The value obtained for the spin magnetization is 0.006 μB per formula unit. The total energy is -4.92 eV/atom. Its symmetry is P3m1.

Lattice parameters (Å, degrees): 4.1446 4.1446 12.2598 90.00 90.00 120.00
Element x y z (fractional)
1 I 0.6667 0.3333 0.8235
2 Si 0.3333 0.6667 0.5090
3 I 0.3333 0.6667 0.1717
4 Si 0.6667 0.3333 0.4959
5 Tb 0.0000 0.0000 0.6563
6 Sm 0.0000 0.0000 0.3436

***

8.
A plane-wave DFT calculation with PBE was carried out for a relaxed structure of SmYSi2I2.

Computed properties:
The value obtained for the spin magnetization is 0.001 μB per formula unit. The total energy is -5.23 eV/atom. Its symmetry is P3m1.

Lattice parameters (Å, degrees): 4.1433 4.1433 12.2346 90.00 90.00 120.00
Element x y z (fractional)
1 I 0.6667 0.3333 0.8286
2 I 0.3333 0.6667 0.1767
3 Si 0.6667 0.3333 0.4906
4 Y 0.0000 0.0000 0.3439
5 Si 0.3333 0.6667 0.5039
6 Sm 0.0000 0.0000 0.6564

***

9.
A plane-wave DFT calculation with PBE was carried out for a relaxed structure of Tb7SiI12.

Computed properties:
The value obtained for the spin magnetization is 0.468 μB per formula unit. The total energy is -4.08 eV/atom. Its symmetry is R-3.

Lattice parameters (Å, degrees): 9.7331 9.7331 9.7331 107.86 107.86 107.86
Last column: magnetic moment on the atom in μB.
Element x y z (fractional)
1 I 0.1547 0.3880 0.4679  0.00
2 Tb 0.9685 0.6916 0.8980  0.06
3 Tb 0.8980 0.9685 0.6916  0.04
4 Tb 0.3084 0.1020 0.0315  0.04
5 Si 0.0000 0.0000 0.0000  -0.01
6 Tb 0.0315 0.3084 0.1020  0.06
7 I 0.2289 0.0776 0.6860  0.00
8 I 0.9224 0.3140 0.7711  0.00
9 I 0.3140 0.7711 0.9224  0.00
10 I 0.7711 0.9224 0.3140  0.00
11 Tb 0.1020 0.0315 0.3084  0.04
12 I 0.6860 0.2289 0.0776  0.00
13 I 0.3880 0.4679 0.1547  0.00
14 I 0.4679 0.1547 0.3880  0.00
15 I 0.0776 0.6860 0.2289  0.00
16 I 0.8453 0.6120 0.5321  0.00
17 Tb 0.6916 0.8980 0.9685  0.04
18 Tb 0.5000 0.5000 0.5000  0.01
19 I 0.6120 0.5321 0.8453  0.00
20 I 0.5321 0.8453 0.6120  0.00

***

10.
A plane-wave DFT calculation with PBE was carried out for a relaxed structure of TbYSi2I2.

Computed properties:
The value obtained for the spin magnetization is 0.009 μB per formula unit. The total energy is -5.20 eV/atom. Its symmetry is P3m1.

Lattice parameters (Å, degrees): 4.1271 4.1271 12.1166 90.00 90.00 120.00
Element x y z (fractional)
1 Si 0.6667 0.3333 0.4926
2 I 0.6667 0.3333 0.8252
3 Y 0.0000 0.0000 0.3445
4 Tb 0.0000 0.0000 0.6556
5 I 0.3333 0.6667 0.1749
6 Si 0.3333 0.6667 0.5073

***

11.
A plane-wave DFT calculation with PBE was carried out for a relaxed structure of SmI3.

Computed properties:
The value obtained for the spin magnetization is 0.000 μB per formula unit. The total energy is -3.71 eV/atom. Its symmetry is P4_2/mnm.

Lattice parameters (Å, degrees): 7.4228 7.4228 13.3995 90.00 90.00 90.00
Element x y z (fractional)
1 I 0.2039 0.2039 0.6638
2 I 0.7961 0.7961 0.6638
3 I 0.2039 0.2039 0.3362
4 I 0.2997 0.7003 0.5000
5 I 0.2961 0.7039 0.8362
6 Sm 0.0000 0.0000 0.8307
7 I 0.7961 0.7961 0.3362
8 Sm 0.5000 0.5000 0.3307
9 I 0.2961 0.7039 0.1638
10 Sm 0.5000 0.5000 0.6693
11 I 0.7039 0.2961 0.1638
12 I 0.7997 0.7997 0.0000
13 I 0.7039 0.2961 0.8362
14 Sm 0.0000 0.0000 0.1693
15 I 0.2003 0.2003 0.0000
16 I 0.7003 0.2997 0.5000

***

12.
A plane-wave DFT calculation with PBE was carried out for a relaxed structure of SmTe3I4.

Computed properties:
The value obtained for the spin magnetization is 0.005 μB per formula unit. The total energy is -2.82 eV/atom. Its symmetry is Immm.

Lattice parameters (Å, degrees): 9.5717 9.5717 4.2505 102.78 102.78 57.04
Element x y z (fractional)
1 Te 0.8548 0.8548 0.8553
2 I 0.1669 0.6010 0.3844
3 Te 0.5000 0.5000 0.0000
4 Sm 0.0000 0.0000 0.5000
5 Te 0.1452 0.1452 0.1447
6 I 0.8331 0.3990 0.6156
7 I 0.6010 0.1669 0.3844
8 I 0.3990 0.8331 0.6156